# In2TeSe PBE-GGA optimized geometry
data_In2TeSe
_chemical_formula_sum 'In4 Te2 Se2'
_symmetry_space_group_name_H-M 'P 1'
_symmetry_Int_Tables_number 1
_cell_length_a 6.972
_cell_length_b 6.972
_cell_length_c 6.972
_cell_angle_alpha 113.65
_cell_angle_beta 113.65
_cell_angle_gamma 101.40
loop_
_symmetry_equiv_pos_as_xyz
'x,y,z'
loop_
_atom_site_label
_atom_site_fract_x
_atom_site_fract_y
_atom_site_fract_z
In1 0.105 0.625 0.980
In2 0.375 0.355 0.480
In3 0.645 0.125 0.020
In4 0.875 0.895 0.520
Te1 0.250 0.750 0.500
Te2 0.500 0.500 0.000
Se1 0.000 0.000 0.000
Se2 0.750 0.250 0.500
# Offset from the most stable computed form ... 0.1142 eV/atom
# Space group ... No. 122
# E ... -13.056 eV/f.u.
# DOS at the Fermi energy ... 0.57 states/eV/f.u.

***

# InTe4Se PBE-GGA optimized geometry
data_InTe4Se
_chemical_formula_sum 'In1 Te4 Se1'
_symmetry_space_group_name_H-M 'P 1'
_symmetry_Int_Tables_number 1
_cell_length_a 6.375
_cell_length_b 6.375
_cell_length_c 6.375
_cell_angle_alpha 60.00
_cell_angle_beta 60.00
_cell_angle_gamma 60.00
loop_
_symmetry_equiv_pos_as_xyz
'x,y,z'
loop_
_atom_site_label
_atom_site_fract_x
_atom_site_fract_y
_atom_site_fract_z
In1 0.000 0.000 0.000
Te1 0.377 0.377 0.377
Te2 0.377 0.377 0.869
Te3 0.377 0.869 0.377
Te4 0.869 0.377 0.377
Se1 0.750 0.750 0.750
# Space group ... No. 216
# E ... -16.576 eV/f.u.
# DOS at the Fermi energy ... 7.88 states/eV/f.u.

***

# In3Te2Se PBE-GGA optimized geometry
data_In3Te2Se
_chemical_formula_sum 'In6 Te4 Se2'
_symmetry_space_group_name_H-M 'P 1'
_symmetry_Int_Tables_number 1
_cell_length_a 7.376
_cell_length_b 7.376
_cell_length_c 8.326
_cell_angle_alpha 90.00
_cell_angle_beta 90.00
_cell_angle_gamma 60.15
loop_
_symmetry_equiv_pos_as_xyz
'x,y,z'
loop_
_atom_site_label
_atom_site_fract_x
_atom_site_fract_y
_atom_site_fract_z
In1 0.134 0.500 0.250
In2 0.134 0.866 0.750
In3 0.500 0.134 0.750
In4 0.500 0.866 0.250
In5 0.866 0.134 0.250
In6 0.866 0.500 0.750
Te1 0.167 0.167 0.000
Te2 0.167 0.167 0.500
Te3 0.833 0.833 0.000
Te4 0.833 0.833 0.500
Se1 0.500 0.500 0.250
Se2 0.500 0.500 0.750
# Offset from the most stable computed form ... 0.0588 eV/atom
# Space group ... No. 63
# E ... -19.554 eV/f.u.
# DOS at the Fermi energy ... 2.14 states/eV/f.u.